[1]
VASP calculation (PBE) on a geometry-optimized TbPrDy4Tm2 structure.

DFT formation energy in eV per atom: 0.43
E in eV/cell: -133.17

Cell: 13.5624 13.2428 6.7816 Å, 90.00 120.00 90.00°
Space group C2/c (No. 15)
Inequivalent atoms, fractional coordinates:
Tb  0.2500  0.2500  0.0000 (multiplicity 4)
Pr  0.0000  0.0000  0.0000 (multiplicity 4)
Dy  0.0005  0.2549  0.0012 (multiplicity 8)
Dy  0.2459  0.4981  0.4963 (multiplicity 8)
Tm  0.0000  0.5000  0.0000 (multiplicity 4)
Tm  0.2500  0.2500  0.5000 (multiplicity 4)


[2]
VASP calculation (PBE) on a geometry-optimized Tb6PrDy3Tm2 structure.

DFT formation energy in eV per atom: 0.02
E in eV/cell: -110.22

Cell: 6.1573 10.6551 11.7932 Å, 90.00 99.96 90.00°
Space group C2/m (No. 12)
Inequivalent atoms, fractional coordinates:
Tb  0.2494  0.0000  0.2507 (multiplicity 4)
Tb  0.2488  0.1672  0.7491 (multiplicity 8)
Pr  0.0000  0.5000  0.0000 (multiplicity 2)
Dy  0.0000  0.0000  0.5000 (multiplicity 2)
Dy  0.0000  0.3330  0.5000 (multiplicity 4)
Tm  0.0000  0.1668  0.0000 (multiplicity 4)